# CuRhCl2

CuRhCl2 after structural relaxation (PBE, the Alexandria database).

Values from the calculation:
Formation energy without anion corrections = 0.13 eV/atom
Calculated volume = 18.03 Å³/atom
Relative energy among the computed polymorphs = 0.310 eV/atom
Crystal system = monoclinic

a = 4.027 Å, b = 4.027 Å, c = 6.318 Å
α = 109.85°, β = 109.85°, γ = 49.37°
Atoms (fractional coordinates):
Cu 0.000 0.000 0.000
Rh 0.500 0.500 0.500
Cl 0.295 0.295 0.752
Cl 0.705 0.705 0.248